Crystalline CePmZn at its relaxed geometry. Source: Alexandria via LeMat-Bulk, functional GGA-PBE.

- DOS at the Fermi energy: 5.84 states/eV/f.u.
- Energy above the most stable polymorph in this dataset: 25 meV/atom
- Total DFT energy (no corrections): -12.30 eV/cell
- DFT formation energy: -33 kJ/mol of formula units

Cell: 3.6465 3.6465 6.6666 Å, 105.87 105.87 90.00°
Last column: nearest neighbours and their distance in Å.
Atoms (fractional coordinates):
Zn1 0.6663 0.6663 0.3326  4 Pm 3.14, 4 Ce 3.14
Ce1 0.3126 0.3126 0.6253  4 Zn 3.14
Pm1 0.0211 0.0211 0.0422  4 Zn 3.14